(1)
The following is a PBE calculation of a relaxed BaSr4Ca5 crystal, from the Alexandria database. Values from VASP.

Properties
**Energy above the most stable polymorph in this dataset**: 0.000 eV/atom
**Total moment**: 0.004 μB/atom
**Formation enthalpy at 0 K**: 0.02 eV/atom
**SG**: No. 123

Quantum ESPRESSO input file:
```
&SYSTEM
  ibrav = 0, nat = 10, ntyp = 3
/
ATOMIC_SPECIES
Ba 137.33 Ba.upf
Sr 87.62 Sr.upf
Ca 40.08 Ca.upf
CELL_PARAMETERS angstrom
-2.7921 -2.4344 -1.7575
-1.1054 -1.3979 3.6925
-19.8697 21.2698 2.1041
ATOMIC_POSITIONS angstrom
Ba 0.0000 0.0000 0.0000
Sr -4.0556 4.3414 0.4295
Sr -7.9739 8.5357 0.8444
Sr -11.8959 12.7341 1.2597
Sr -15.8141 16.9284 1.6747
Ca -4.0365 0.3187 1.1886
Ca -7.9626 4.5215 1.6044
Ca -11.8836 8.7187 2.0196
Ca -15.8046 12.9160 2.4348
Ca -19.7308 17.1188 2.8506
```

=====

(2)
The following is a PBE calculation of a relaxed AlZnCu2 crystal, from the Alexandria database. Values from VASP.

Properties
**Total moment**: 0.000 μB/atom
**Formation enthalpy at 0 K**: -0.15 eV/atom
**SG**: No. 225

Quantum ESPRESSO input file:
```
&SYSTEM
  ibrav = 0, nat = 4, ntyp = 3
/
ATOMIC_SPECIES
Zn 65.41 Zn.upf
Al 26.98 Al.upf
Cu 63.55 Cu.upf
CELL_PARAMETERS angstrom
4.2003 0.0000 0.0000
2.1001 3.6376 0.0000
2.1001 1.2125 3.4295
ATOMIC_POSITIONS angstrom
Zn 6.3004 3.6376 2.5721
Al 2.1001 1.2125 0.8574
Cu 4.2003 2.4250 1.7148
Cu 0.0000 0.0000 0.0000
```

=====

(3)
The following is a PBE calculation of a relaxed CePmCdIn crystal, from the Alexandria database. Values from VASP.

Properties
**Total moment**: 0.341 μB/atom
**Formation enthalpy at 0 K**: -0.31 eV/atom
**SG**: No. 216

Quantum ESPRESSO input file:
```
&SYSTEM
  ibrav = 0, nat = 4, ntyp = 4
/
ATOMIC_SPECIES
Cd 112.41 Cd.upf
In 114.82 In.upf
Ce 140.12 Ce.upf
Pm 145.00 Pm.upf
CELL_PARAMETERS angstrom
-2.8241 -4.6438 -0.3506
2.6184 -4.7721 -0.1876
-0.2074 -3.3893 4.2583
ATOMIC_POSITIONS angstrom
Cd -0.3098 -9.6039 2.7901
In -0.1033 -3.2013 0.9300
Ce 0.0000 0.0000 0.0000
Pm -0.2066 -6.4026 1.8601
```

=====

(4)
The following is a PBE calculation of a relaxed KNa2PtW crystal, from the Alexandria database. Values from VASP.

Properties
**Total moment**: 0.574 μB/atom
**Formation enthalpy at 0 K**: 0.69 eV/atom
**SG**: No. 123

Quantum ESPRESSO input file:
```
&SYSTEM
  ibrav = 0, nat = 5, ntyp = 4
/
ATOMIC_SPECIES
Na 22.99 Na.upf
K 39.10 K.upf
W 183.84 W.upf
Pt 195.08 Pt.upf
CELL_PARAMETERS angstrom
-3.3909 0.7869 4.4186
0.0459 -4.8217 0.8939
4.4878 0.6594 3.3266
ATOMIC_POSITIONS angstrom
Na 2.2439 0.3297 1.6633
Na -1.6955 0.3934 2.2093
K 0.5714 -1.6877 4.3195
W 0.0229 -2.4109 0.4469
Pt 0.0000 0.0000 0.0000
```